Below is a geometry-optimized AgMo2Br structure, with properties calculated at the GGA-PBE level.

Properties
total moment = 0.0 μB/f.u.
density of states at the Fermi level = 1.0821 states/eV per atom
energy above the most stable polymorph in this dataset = 708 meV/atom
formation energy (no corrections) = 1.027 eV per atom
symmetry = P4/mmm

```
AgMo2Br
1.0
-2.5524 3.2572 -2.4092
-1.6952 -3.4448 -2.8614
-2.2487 -0.4108 1.8268
Ag Br Mo
1 1 2
Direct
0.5000 0.0000 0.5000
0.0000 0.5000 0.5000
0.5000 0.5000 0.0000
0.0000 0.0000 0.0000
```